1.
A PBEsol-optimized structure of CaPdBr2. Source: the Alexandria database, functional SCAN.

Calculated values
Crystal system = tetragonal
Formation energy from raw total energies = -1.062 eV/atom
Total magnetic moment = 0.000 μB per atom
SG = I-42d, No. 122

The structure in POSCAR format:
```
CaPdBr2
1.0
5.124 0.000 0.000
0.000 5.124 0.000
-2.562 -2.562 8.008
Ca Br Pd
2 4 2
Direct
0.750 0.250 0.500 Ca
0.500 0.500 0.000 Ca
0.345 0.875 0.250 Br
0.905 0.375 0.250 Br
0.125 0.095 0.750 Br
0.625 0.655 0.750 Br
0.250 0.750 0.500 Pd
0.000 0.000 0.000 Pd
```

2.
A PBEsol-optimized structure of ScIrO2F. Source: the Alexandria database, functional SCAN.

Calculated values
Crystal system = tetragonal
Formation energy from raw total energies = -1.058 eV/atom
Total magnetic moment = 0.083 μB per atom
SG = P4/mmm, No. 123

The structure in POSCAR format:
```
ScIrO2F
1.0
3.921 0.000 0.000
0.000 3.921 0.000
0.000 0.000 4.137
Sc Ir O F
1 1 2 1
Direct
0.500 0.500 0.500 Sc
0.000 0.000 0.000 Ir
0.000 0.500 0.000 O
0.500 0.000 0.000 O
0.000 0.000 0.500 F
```

3.
A PBEsol-optimized structure of BeGe2SbCl. Source: the Alexandria database, functional SCAN.

Calculated values
Crystal system = tetragonal
Formation energy from raw total energies = 0.448 eV/atom
Total magnetic moment = 0.000 μB per atom
SG = P4/mmm, No. 123

The structure in POSCAR format:
```
BeGe2SbCl
1.0
4.406 0.000 0.000
0.000 4.406 0.000
0.000 0.000 5.239
Sb Ge Be Cl
1 2 1 1
Direct
0.000 0.000 0.500 Sb
0.000 0.500 0.000 Ge
0.500 0.000 0.000 Ge
0.000 0.000 0.000 Be
0.500 0.500 0.500 Cl
```

4.
A PBEsol-optimized structure of KRuO2. Source: the Alexandria database, functional SCAN.

Calculated values
Crystal system = tetragonal
Formation energy from raw total energies = -0.940 eV/atom
Total magnetic moment = 0.000 μB per atom
SG = I-42d, No. 122

The structure in POSCAR format:
```
KRuO2
1.0
5.018 0.000 0.000
0.000 5.018 0.000
-2.509 -2.509 5.277
Ru K O
2 2 4
Direct
0.250 0.750 0.500 Ru
0.000 0.000 0.000 Ru
0.750 0.250 0.500 K
0.500 0.500 0.000 K
0.245 0.875 0.250 O
0.005 0.375 0.250 O
0.125 0.995 0.750 O
0.625 0.755 0.750 O
```

5.
A PBEsol-optimized structure of LiCd2GeRh. Source: the Alexandria database, functional SCAN.

Calculated values
Energy = -23.297 eV per atom
Crystal system = tetragonal
Total magnetic moment = 0.000 μB per atom
SG = P4/mmm, No. 123

The structure in POSCAR format:
```
LiCd2GeRh
1.0
-4.298 0.666 -1.478
-1.793 -1.262 4.642
0.267 4.920 1.441
Ge Li Rh Cd
1 1 1 2
Direct
0.500 0.000 0.000 Ge
0.500 0.500 0.500 Li
0.000 0.000 0.000 Rh
0.000 0.000 0.500 Cd
0.000 0.500 0.000 Cd
```

6.
A PBEsol-optimized structure of Sn3CN. Source: the Alexandria database, functional SCAN.

Calculated values
Crystal system = cubic
Formation energy from raw total energies = 1.843 eV/atom
Total magnetic moment = 0.000 μB per atom
SG = Pm-3m, No. 221

The structure in POSCAR format:
```
Sn3CN
1.0
4.625 0.000 0.000
0.000 4.625 0.000
0.000 0.000 4.625
C Sn N
1 3 1
Direct
0.000 0.000 0.000 C
0.000 0.500 0.000 Sn
0.000 0.000 0.500 Sn
0.500 0.000 0.000 Sn
0.500 0.500 0.500 N
```

7.
A PBEsol-optimized structure of LiVSi2O6. Source: the Alexandria database, functional SCAN.

Calculated values
Crystal system = monoclinic
Formation energy from raw total energies = -2.877 eV/atom
Total magnetic moment = 0.200 μB per atom
SG = C2/c, No. 15

The structure in POSCAR format:
```
LiVSi2O6
1.0
-2.660 3.414 -2.990
2.239 -0.931 -6.017
-5.072 -3.347 -2.271
Li V Si O
2 2 4 12
Direct
0.250 0.734 0.266 Li
0.750 0.266 0.734 Li
0.250 0.087 0.913 V
0.750 0.913 0.087 V
0.268 0.609 0.796 Si
0.732 0.391 0.204 Si
0.768 0.796 0.609 Si
0.232 0.204 0.391 Si
0.653 0.974 0.792 O
0.934 0.347 0.366 O
0.566 0.634 0.653 O
0.066 0.653 0.634 O
0.434 0.366 0.347 O
0.677 0.634 0.105 O
0.347 0.026 0.208 O
0.153 0.792 0.974 O
0.823 0.895 0.366 O
0.323 0.366 0.895 O
0.177 0.105 0.634 O
0.847 0.208 0.026 O
```

8.
A PBEsol-optimized structure of MnNb2CdIn. Source: the Alexandria database, functional SCAN.

Calculated values
Energy = -28.259 eV per atom
Crystal system = tetragonal
Total magnetic moment = 0.358 μB per atom
SG = P4/mmm, No. 123

The structure in POSCAR format:
```
MnNb2CdIn
1.0
4.726 0.000 0.000
0.000 5.046 0.000
0.000 0.000 5.046
Nb Cd Mn In
2 1 1 1
Direct
0.000 0.000 0.500 Nb
0.000 0.500 0.000 Nb
0.500 0.500 0.500 Cd
0.500 0.000 0.000 Mn
0.000 0.000 0.000 In
```

9.
A PBEsol-optimized structure of SrLu2S4. Source: the Alexandria database, functional SCAN.

Calculated values
Crystal system = orthorhombic
Formation energy from raw total energies = -2.423 eV/atom
Total magnetic moment = 0.000 μB per atom
SG = Pnma, No. 62

The structure in POSCAR format:
```
SrLu2S4
1.0
-0.912 2.008 -3.177
8.629 -5.358 -5.863
-8.855 -10.076 -3.824
Sr Lu S
4 8 16
Direct
0.750 0.741 0.164 Sr
0.750 0.241 0.336 Sr
0.250 0.259 0.836 Sr
0.250 0.759 0.664 Sr
0.750 0.065 0.110 Lu
0.750 0.565 0.390 Lu
0.250 0.935 0.890 Lu
0.250 0.435 0.610 Lu
0.750 0.081 0.600 Lu
0.750 0.581 0.900 Lu
0.250 0.919 0.400 Lu
0.250 0.419 0.100 Lu
0.750 0.294 0.669 S
0.750 0.794 0.831 S
0.250 0.706 0.331 S
0.250 0.206 0.169 S
0.750 0.372 0.973 S
0.750 0.872 0.527 S
0.250 0.628 0.027 S
0.250 0.128 0.473 S
0.750 0.476 0.216 S
0.750 0.976 0.284 S
0.250 0.524 0.784 S
0.250 0.024 0.716 S
0.750 0.087 0.922 S
0.750 0.587 0.578 S
0.250 0.913 0.078 S
0.250 0.413 0.422 S
```

10.
A PBEsol-optimized structure of KAgF2. Source: the Alexandria database, functional SCAN.

Calculated values
Crystal system = tetragonal
Formation energy from raw total energies = -1.914 eV/atom
Total magnetic moment = 0.000 μB per atom
SG = I-42d, No. 122

The structure in POSCAR format:
```
KAgF2
1.0
-3.285 1.452 5.279
4.863 -2.056 3.591
0.594 3.527 -4.462
K Ag F
2 2 4
Direct
0.750 0.250 0.500 K
0.500 0.500 0.000 K
0.250 0.750 0.500 Ag
0.000 0.000 0.000 Ag
0.344 0.875 0.250 F
0.906 0.375 0.250 F
0.125 0.094 0.750 F
0.625 0.656 0.750 F
```

11.
A PBEsol-optimized structure of K3RbPd. Source: the Alexandria database, functional SCAN.

Calculated values
Energy = -15.608 eV per atom
Crystal system = cubic
Total magnetic moment = 0.000 μB per atom
SG = Pm-3m, No. 221

The structure in POSCAR format:
```
K3RbPd
1.0
-1.920 5.609 -2.390
2.336 -1.637 -5.720
-5.631 -2.591 -1.558
K Pd Rb
3 1 1
Direct
0.000 0.500 0.000 K
0.000 0.000 0.500 K
0.500 0.000 0.000 K
0.000 0.000 0.000 Pd
0.500 0.500 0.500 Rb
```

12.
A PBEsol-optimized structure of ErMn2. Source: the Alexandria database, functional SCAN.

Calculated values
Energy = -29.085 eV per atom
Crystal system = monoclinic
Total magnetic moment = 0.375 μB per atom
SG = C2/m, No. 12

The structure in POSCAR format:
```
ErMn2
1.0
-3.241 -1.757 -3.335
-2.661 -3.992 1.302
-6.250 4.558 2.980
Er Mn
4 8
Direct
0.332 0.332 0.062 Er
0.668 0.668 0.938 Er
0.666 0.666 0.564 Er
0.334 0.334 0.436 Er
0.000 0.000 0.000 Mn
0.000 0.000 0.500 Mn
0.830 0.830 0.244 Mn
0.170 0.170 0.756 Mn
0.162 0.670 0.746 Mn
0.670 0.162 0.746 Mn
0.838 0.330 0.254 Mn
0.330 0.838 0.254 Mn
```